GGA-PBE CeYBi, relaxed; formation enthalpy at 0 K = -0.95 eV per formula unit; space group = Immm; crystal system = orthorhombic; total energy = -68.928 eV for the cell shown
1.0
3.424 0.000 0.000
0.000 5.763 0.000
0.000 0.000 18.433
Ce Y Bi
4 4 4
Cartesian
0.000 1.335 0.000
0.000 4.429 0.000
1.712 1.547 9.216
1.712 4.216 9.216
0.000 2.882 6.119
0.000 2.882 12.314
1.712 0.000 3.097
1.712 0.000 15.336
0.000 2.882 2.931
0.000 2.882 15.502
1.712 0.000 6.285
1.712 0.000 12.148

GGA-PBE MnCrAg2, relaxed; formation enthalpy at 0 K = 1.84 eV per formula unit; space group = P4/mmm; crystal system = tetragonal; total energy = -22.658 eV for the cell shown
1.0
3.209 0.000 0.000
0.000 3.209 0.000
0.000 0.000 6.607
Mn Cr Ag
1 1 2
Cartesian
0.000 0.000 0.000
0.000 0.000 3.304
1.605 1.605 1.609
1.605 1.605 4.998